[1]
The following is a DFT calculation (GGA-PBEsol) of a relaxed structure of Re2TePb.

```
Re2TePb
1.0
4.3538 -1.5540 0.0000
4.3538 1.5540 0.0000
-1.3449 0.0000 5.6259
Re Te Pb
2 1 1
direct
0.2448 0.2448 0.2971 Re
0.7552 0.7552 0.7029 Re
0.0000 0.0000 0.5000 Te
0.5000 0.5000 0.0000 Pb
```

Summary:
Relative energy among the computed polymorphs (meV per atom): 19
SG: C2/m, No. 12

***

[2]
The following is a DFT calculation (GGA-PBEsol) of a relaxed structure of ReTePb2.

```
ReTePb2
1.0
1.5835 0.9143 11.2594
-1.5835 0.9143 11.2594
0.0000 -1.8285 11.2594
Re Te Pb
1 1 2
direct
0.0000 0.0000 0.0000 Re
0.5000 0.5000 0.5000 Te
0.2662 0.2662 0.2662 Pb
0.7338 0.7338 0.7338 Pb
```

Summary:
SG: R-3m, No. 166
E_tot (eV/atom): -5.55

***

[3]
The following is a DFT calculation (GGA-PBEsol) of a relaxed structure of Re2TePb.

```
Re2TePb
1.0
0.0000 3.2863 3.2863
3.2863 0.0000 3.2863
3.2863 3.2863 0.0000
Re Te Pb
2 1 1
direct
0.2500 0.2500 0.2500 Re
0.7500 0.7500 0.7500 Re
0.0000 0.0000 0.0000 Te
0.5000 0.5000 0.5000 Pb
```

Summary:
Relative energy among the computed polymorphs (meV per atom): 66
SG: Fm-3m, No. 225

***

[4]
The following is a DFT calculation (GGA-PBEsol) of a relaxed structure of Re2TePb.

```
Re2TePb
1.0
-1.5430 2.3912 5.5082
1.5430 -2.3912 5.5082
1.5430 2.3912 -5.5082
Re Te Pb
2 1 1
direct
0.0000 0.0000 0.0000 Re
0.8262 0.3262 0.5000 Re
0.2525 0.7525 0.5000 Te
0.5578 0.5578 0.0000 Pb
```

Summary:
Relative energy among the computed polymorphs (meV per atom): 0
SG: Imm2, No. 44

***

[5]
The following is a DFT calculation (GGA-PBEsol) of a relaxed structure of Tl2RePb.

```
Tl2RePb
1.0
1.5641 0.9030 10.7094
-1.5641 0.9030 10.7094
0.0000 -1.8060 10.7094
Tl Re Pb
2 1 1
direct
0.2390 0.2390 0.2390 Tl
0.7610 0.7610 0.7610 Tl
0.5000 0.5000 0.5000 Re
0.0000 0.0000 0.0000 Pb
```

Summary:
Relative energy among the computed polymorphs (meV per atom): 90
Formation enthalpy at 0 K (eV/atom): 0.782
SG: R-3m, No. 166

***

[6]
The following is a DFT calculation (GGA-PBEsol) of a relaxed structure of Tl2RePb.

```
Tl2RePb
1.0
3.3165 -4.4610 0.0000
3.3165 4.4610 0.0000
0.0000 0.0000 2.9983
Tl Re Pb
2 1 1
direct
0.0000 0.5000 0.0000 Tl
0.5000 0.0000 0.0000 Tl
0.0000 0.0000 0.5000 Re
0.5000 0.5000 0.5000 Pb
```

Summary:
Relative energy among the computed polymorphs (meV per atom): 355
Formation enthalpy at 0 K (eV/atom): 1.047
SG: Cmmm, No. 65